[1]
# SbAsF2

An optimized crystal structure of SbAsF2 (GGA-PBE, Alexandria).

excess energy over the best structure of this formula in the dataset = 33 meV/atom

Geometry as POSCAR:
```
SbAsF2
1.0
8.5504 -0.0381 -0.0225
7.9858 3.0559 -0.0225
7.9858 1.4574 2.6861
Sb F As
1 2 1
Direct
0.5000 0.5000 0.5000
0.0804 0.0804 0.0804
0.9196 0.9196 0.9196
0.0000 0.0000 0.0000
```

---

[2]
# SbAsF2

An optimized crystal structure of SbAsF2 (GGA-PBE, Alexandria).

excess energy over the best structure of this formula in the dataset = 114 meV/atom

Geometry as POSCAR:
```
SbAsF2
1.0
8.9728 0.0404 0.0238
8.4173 3.1082 0.0238
8.4173 1.5240 2.7090
F Sb As
2 1 1
Direct
0.0785 0.0785 0.0785
0.9215 0.9215 0.9215
0.0000 0.0000 0.0000
0.5000 0.5000 0.5000
```

---

[3]
# SbAsF

An optimized crystal structure of SbAsF (GGA-PBE, Alexandria).

uncorrected energy = -26.41 eV per cell

Geometry as POSCAR:
```
SbAsF
1.0
-0.9029 2.3182 3.5344
3.5034 -2.2225 3.6848
1.8869 6.6054 -3.5259
F As Sb
2 2 2
Direct
0.8308 0.3667 0.0867
0.1692 0.6333 0.9133
0.4288 0.2646 0.3933
0.5712 0.7354 0.6067
0.9710 0.3701 0.6890
0.0290 0.6299 0.3110
```

---

[4]
# SbAsF2

An optimized crystal structure of SbAsF2 (GGA-PBE, Alexandria).

excess energy over the best structure of this formula in the dataset = 404 meV/atom

Geometry as POSCAR:
```
SbAsF2
1.0
0.0000 3.1536 3.1536
3.1536 0.0000 3.1536
3.1536 3.1536 0.0000
F Sb As
2 1 1
Direct
0.7500 0.7500 0.7500
0.2500 0.2500 0.2500
0.5000 0.5000 0.5000
0.0000 0.0000 0.0000
```

---

[5]
# SbAs2SeF

An optimized crystal structure of SbAs2SeF (GGA-PBE, Alexandria).

excess energy over the best structure of this formula in the dataset = 473 meV/atom

Geometry as POSCAR:
```
SbAs2SeF
1.0
-3.8875 -3.0866 -2.0101
3.6834 -3.2716 -2.0999
-0.0173 -2.8415 4.3968
Sb F Se As
1 1 1 2
Direct
0.0000 0.0000 0.0000
0.5000 0.5000 0.5000
0.0000 0.0000 0.5000
0.0000 0.5000 0.0000
0.5000 0.0000 0.0000
```

---

[6]
# SbAs2SeF

An optimized crystal structure of SbAs2SeF (GGA-PBE, Alexandria).

excess energy over the best structure of this formula in the dataset = 0 meV/atom

Geometry as POSCAR:
```
SbAs2SeF
1.0
-2.4441 2.8166 -2.2041
-2.2811 0.8284 3.5882
3.6273 4.1943 1.3376
As Se F Sb
2 1 1 1
Direct
0.0000 0.5000 0.0000
0.5000 0.0000 0.0000
0.0000 0.0000 0.5000
0.0000 0.0000 0.0000
0.5000 0.5000 0.5000
```

---

[7]
# SbAs3Se4F6

An optimized crystal structure of SbAs3Se4F6 (GGA-PBE, Alexandria).

uncorrected energy = -122.27 eV per cell

Geometry as POSCAR:
```
SbAs3Se4F6
1.0
10.0670 0.0000 0.0000
0.0000 6.5435 -0.0066
0.0000 0.4328 10.7383
As Sb Se F
6 2 8 12
Direct
0.3749 0.0050 0.1525
0.1251 0.0050 0.1525
0.2500 0.9404 0.4815
0.6251 0.9950 0.8475
0.8749 0.9950 0.8475
0.7500 0.0596 0.5185
0.7500 0.5128 0.1677
0.2500 0.4872 0.8323
0.5674 0.1436 0.6521
0.2500 0.3191 0.2171
0.0674 0.8564 0.3479
0.7500 0.6941 0.5654
0.7500 0.6809 0.7829
0.9326 0.1436 0.6521
0.4326 0.8564 0.3479
0.2500 0.3059 0.4346
0.7500 0.7053 0.2997
0.3835 0.3233 0.9179
0.8854 0.3565 0.2533
0.3854 0.6435 0.7467
0.7500 0.3262 0.0337
0.2500 0.6738 0.9663
0.1165 0.3233 0.9179
0.8835 0.6767 0.0821
0.6165 0.6767 0.0821
0.2500 0.2947 0.7003
0.1146 0.6435 0.7467
0.6146 0.3565 0.2533
```

---

[8]
# SrSb2AsF

An optimized crystal structure of SrSb2AsF (GGA-PBE, Alexandria).

uncorrected energy = -12.99 eV per cell

Geometry as POSCAR:
```
SrSb2AsF
1.0
-3.5365 -3.0682 -3.8752
4.0094 -3.9105 -0.5627
-2.3855 -3.1138 4.6424
As Sr F Sb
1 1 1 2
Direct
0.0000 0.5000 0.0000
0.0000 0.0000 0.0000
0.5000 0.5000 0.5000
0.5000 0.0000 0.0000
0.0000 0.0000 0.5000
```

---

[9]
# Sb2TeAsF

An optimized crystal structure of Sb2TeAsF (GGA-PBE, Alexandria).

excess energy over the best structure of this formula in the dataset = 226 meV/atom

Geometry as POSCAR:
```
Sb2TeAsF
1.0
5.3353 0.0000 0.0000
0.0000 5.3353 0.0000
0.0000 0.0000 5.4771
Te Sb F As
1 2 1 1
Direct
0.0000 0.0000 0.5000
0.0000 0.5000 0.0000
0.5000 0.0000 0.0000
0.5000 0.5000 0.5000
0.0000 0.0000 0.0000
```

---

[10]
# Sb2TeAsF

An optimized crystal structure of Sb2TeAsF (GGA-PBE, Alexandria).

excess energy over the best structure of this formula in the dataset = 0 meV/atom

Geometry as POSCAR:
```
Sb2TeAsF
1.0
4.7263 0.0000 0.0000
0.0000 4.7263 0.0000
0.0000 0.0000 5.5030
Te F Sb As
1 1 2 1
Direct
0.0000 0.0000 0.5000
0.0000 0.0000 0.0000
0.0000 0.5000 0.0000
0.5000 0.0000 0.0000
0.5000 0.5000 0.5000
```

---

[11]
# TlSbAs2F

An optimized crystal structure of TlSbAs2F (GGA-PBE, Alexandria).

uncorrected energy = -16.00 eV per cell

Geometry as POSCAR:
```
TlSbAs2F
1.0
-5.1562 0.4151 0.2261
-0.6025 -4.5841 -5.3251
-0.1665 -3.9127 3.3871
As F Sb Tl
2 1 1 1
Direct
0.5000 0.0000 0.0000
0.0000 0.0000 0.5000
0.5000 0.5000 0.5000
0.0000 0.0000 0.0000
0.0000 0.5000 0.0000
```

---

[12]
# ScAsF3

An optimized crystal structure of ScAsF3 (GGA-PBE, Alexandria).

excess energy over the best structure of this formula in the dataset = 1184 meV/atom

Geometry as POSCAR:
```
ScAsF3
1.0
-4.4035 0.0702 0.4663
0.2999 -2.9624 3.2783
0.3639 3.2913 2.9408
As F Sc
1 3 1
Direct
0.0000 0.0000 0.0000
0.0000 0.0000 0.5000
0.5000 0.0000 0.0000
0.0000 0.5000 0.0000
0.5000 0.5000 0.5000
```

---

[13]
# ScAsF

An optimized crystal structure of ScAsF (GGA-PBE, Alexandria).

uncorrected energy = -18.56 eV per cell

Geometry as POSCAR:
```
ScAsF
1.0
-2.9941 -2.9984 -0.6878
0.0819 -0.8955 3.5470
-2.3108 2.5789 -1.1831
F Sc As
1 1 1
Direct
0.1668 0.3333 0.6667
0.1665 0.0000 0.0000
0.6667 0.6667 0.3333
```

---

[14]
# Sc3AsF

An optimized crystal structure of Sc3AsF (GGA-PBE, Alexandria).

excess energy over the best structure of this formula in the dataset = 0 meV/atom

Geometry as POSCAR:
```
Sc3AsF
1.0
-4.2288 0.4789 -1.1715
-1.2654 -1.5188 3.9467
0.0251 4.1168 1.5923
Sc F As
3 1 1
Direct
0.0000 0.0000 0.5000
0.5000 0.0000 0.0000
0.0000 0.5000 0.0000
0.0000 0.0000 0.0000
0.5000 0.5000 0.5000
```

---

[15]
# ScAsF3

An optimized crystal structure of ScAsF3 (GGA-PBE, Alexandria).

excess energy over the best structure of this formula in the dataset = 0 meV/atom

Geometry as POSCAR:
```
ScAsF3
1.0
-0.7988 -1.8640 -3.7476
2.6314 -3.1905 1.0261
-3.2549 -2.1220 1.7492
F As Sc
3 1 1
Direct
0.0000 0.0000 0.5000
0.5000 0.0000 0.0000
0.0000 0.5000 0.0000
0.5000 0.5000 0.5000
0.0000 0.0000 0.0000
```

---

[16]
# AsSe3F

An optimized crystal structure of AsSe3F (GGA-PBE, Alexandria).

excess energy over the best structure of this formula in the dataset = 134 meV/atom

Geometry as POSCAR:
```
AsSe3F
1.0
4.6543 0.0000 0.0000
0.0000 4.6543 0.0000
0.0000 0.0000 4.6543
F As Se
1 1 3
Direct
0.0000 0.0000 0.0000
0.5000 0.5000 0.5000
0.0000 0.0000 0.5000
0.5000 0.0000 0.0000
0.0000 0.5000 0.0000
```

---

[17]
# AsSe3F

An optimized crystal structure of AsSe3F (GGA-PBE, Alexandria).

excess energy over the best structure of this formula in the dataset = 0 meV/atom

Geometry as POSCAR:
```
AsSe3F
1.0
-2.5681 0.8199 4.2161
-2.9704 -3.8872 -1.0534
3.1024 -3.0431 2.4815
F As Se
1 1 3
Direct
0.5000 0.5000 0.5000
0.0000 0.0000 0.0000
0.0000 0.5000 0.0000
0.5000 0.0000 0.0000
0.0000 0.0000 0.5000
```

---

[18]
# AsSe2F

An optimized crystal structure of AsSe2F (GGA-PBE, Alexandria).

excess energy over the best structure of this formula in the dataset = 527 meV/atom

Geometry as POSCAR:
```
AsSe2F
1.0
0.0479 2.0379 4.1177
-3.8943 0.4171 2.4023
-0.6299 -2.4957 3.8059
Se F As
2 1 1
Direct
0.7500 0.7500 0.7500
0.2500 0.2500 0.2500
0.0000 0.0000 0.0000
0.5000 0.5000 0.5000
```

---

[19]
# AsSe2F

An optimized crystal structure of AsSe2F (GGA-PBE, Alexandria).

excess energy over the best structure of this formula in the dataset = 321 meV/atom

Geometry as POSCAR:
```
AsSe2F
1.0
0.1511 -7.7301 1.4522
3.6207 -6.6358 2.1779
0.9674 -6.2073 4.7350
As Se F
1 2 1
Direct
0.5000 0.5000 0.5000
0.0951 0.0951 0.0951
0.9049 0.9049 0.9049
0.0000 0.0000 0.0000
```

---

[20]
# AsSe2F

An optimized crystal structure of AsSe2F (GGA-PBE, Alexandria).

excess energy over the best structure of this formula in the dataset = 0 meV/atom

Geometry as POSCAR:
```
AsSe2F
1.0
5.3706 0.0000 0.0000
0.0000 6.5084 -0.2242
0.0000 -0.2701 11.1141
Se F As
8 4 4
Direct
0.7702 0.9155 0.5985
0.3782 0.5895 0.5683
0.7298 0.4155 0.0985
0.6218 0.4105 0.4317
0.1218 0.0895 0.0683
0.2702 0.5845 0.9015
0.8782 0.9105 0.9317
0.2298 0.0845 0.4015
0.7256 0.8606 0.3011
0.2256 0.6394 0.1989
0.2744 0.1394 0.6989
0.7744 0.3606 0.8011
0.5510 0.2722 0.9133
0.9490 0.7722 0.4133
0.0510 0.2278 0.5867
0.4490 0.7278 0.0867
```